VASP calculation (PBE) on a relaxed K2HgSbO4 crystal.

Results
- E_form (uncorrected): -1.2005 eV/atom

Structure (CIF):
```
data_K2HgSbO4
_cell_length_a 5.910
_cell_length_b 5.910
_cell_length_c 9.814
_cell_angle_alpha 90.00
_cell_angle_beta 90.00
_cell_angle_gamma 90.00
_space_group_name_H-M_alt 'I -4'
_space_group_IT_number 82
_space_group_name_Hall 'I -4'
loop_
_atom_site_label
_atom_site_fract_x
_atom_site_fract_y
_atom_site_fract_z
_atom_site_occupancy
K1 0.000 0.000 0.000 1
K2 0.000 0.500 0.250 1
Hg1 0.000 0.000 0.500 1
Sb1 0.000 0.500 0.750 1
O1 0.177 0.708 0.641 1
```